# 1
Here is a crystal of La2Al3GaPd4 relaxed with PBEsol from Alexandria. Energies are from meta-GGA SCAN.

- ΔE_f: -0.994 eV/atom
- Spin magnetization: 0.000 μB/atom
- Symmetry: P-4m2 (115)
- DOS(E_F): 0.6346 states/eV/atom

a b c (Å): 4.3989 4.3989 9.8976
angles (deg): 90.00 90.00 90.00
With the nearest neighbours (Å) after each atom.
Fractional positions:
La 0.0000 0.5000 0.2489  8 Pd 3.30-3.34, 7 Al 3.32-3.66, 2 Ga 3.32
La 0.5000 0.0000 0.7511  8 Pd 3.30-3.34, 7 Al 3.32-3.66, 2 Ga 3.32
Al 0.0000 0.5000 0.8787  5 Pd 2.47-2.51
Al 0.5000 0.0000 0.1213  5 Pd 2.47-2.51
Al 0.5000 0.5000 0.5000  4 Pd 2.54
Ga 0.0000 0.0000 0.5000  4 Pd 2.54
Pd 0.0000 0.0000 0.0000  4 Al 2.51
Pd 0.0000 0.5000 0.6291  3 Al 2.47-2.54, 2 Ga 2.54
Pd 0.5000 0.0000 0.3709  3 Al 2.47-2.54, 2 Ga 2.54
Pd 0.5000 0.5000 0.0000  4 Al 2.51

# 2
Here is a crystal of ReTe2MoN relaxed with PBEsol from Alexandria. Energies are from meta-GGA SCAN.

- E_form (uncorrected): 3.59 eV/f.u.
- Spin magnetization: 0.729 μB/atom
- Symmetry: P4/mmm (123)
- DOS(E_F): 0.3808 states/eV/atom

a b c (Å): 5.3088 5.3088 3.6826
angles (deg): 90.00 90.00 90.00
With the nearest neighbours (Å) after each atom.
Fractional positions:
Re 0.0000 0.0000 0.0000  2 N 1.84
Te 0.0000 0.5000 0.0000  2 Re 2.65
Te 0.5000 0.0000 0.0000  2 Re 2.65
Mo 0.5000 0.5000 0.5000  8 Te 3.23
N 0.0000 0.0000 0.5000  2 Re 1.84

# 3
Here is a crystal of LiZnRe2 relaxed with PBEsol from Alexandria. Energies are from meta-GGA SCAN.

- ΔE_f: 0.287 eV/atom
- Spin magnetization: 0.000 μB/atom
- Symmetry: Cmmm (65)
- DOS(E_F): 0.4277 states/eV/atom

a b c (Å): 4.9793 4.9793 2.5626
angles (deg): 90.00 90.00 118.80
With the nearest neighbours (Å) after each atom.
Fractional positions:
Li 0.0000 0.0000 0.0000  2 Zn 2.53, 2 Li 2.56, 8 Re 2.80
Zn 0.5000 0.5000 0.0000  2 Li 2.53, 2 Zn 2.56, 8 Re 2.80
Re 0.0000 0.5000 0.5000  4 Re 2.53-2.56, 4 Zn 2.80, 4 Li 2.80
Re 0.5000 0.0000 0.5000  4 Re 2.53-2.56, 4 Zn 2.80, 4 Li 2.80

# 4
Here is a crystal of ZnTc8 relaxed with PBEsol from Alexandria. Energies are from meta-GGA SCAN.

- ΔE_f: 0.052 eV/atom
- Spin magnetization: 0.000 μB/atom
- Symmetry: I4/mmm (139)
- DOS(E_F): 0.8279 states/eV/atom

a b c (Å): 6.0227 6.0227 6.0227
angles (deg): 95.86 95.86 142.75
With the nearest neighbours (Å) after each atom.
Fractional positions:
Zn 0.0000 0.0000 0.0000  12 Tc 2.73
Tc 0.0000 0.3378 0.3378  11 Tc 2.62-2.72, 1 Zn 2.73
Tc 0.0000 0.6622 0.6622  11 Tc 2.62-2.72, 1 Zn 2.73
Tc 0.3303 0.3303 0.6607  10 Tc 2.66-2.74, 2 Zn 2.73
Tc 0.3303 0.6697 0.0000  10 Tc 2.66-2.74, 2 Zn 2.73
Tc 0.3378 0.0000 0.3378  11 Tc 2.62-2.72, 1 Zn 2.73
Tc 0.6622 0.0000 0.6622  11 Tc 2.62-2.72, 1 Zn 2.73
Tc 0.6697 0.3303 0.0000  10 Tc 2.66-2.74, 2 Zn 2.73
Tc 0.6697 0.6697 0.3393  10 Tc 2.66-2.74, 2 Zn 2.73

# 5
Here is a crystal of ZrNiCl2 relaxed with PBEsol from Alexandria. Energies are from meta-GGA SCAN.

- E_form (uncorrected): -1.14 eV/f.u.
- Spin magnetization: 0.000 μB/atom
- Symmetry: P4/mmm (123)
- DOS(E_F): 0.3388 states/eV/atom

a b c (Å): 4.1437 4.1437 3.5128
angles (deg): 90.00 90.00 90.00
With the nearest neighbours (Å) after each atom.
Fractional positions:
Zr 0.0000 0.0000 0.0000  8 Cl 2.72, 4 Ni 2.93
Ni 0.5000 0.5000 0.0000  8 Cl 2.72, 4 Zr 2.93
Cl 0.0000 0.5000 0.5000  4 Ni 2.72, 4 Zr 2.72, 4 Cl 2.93
Cl 0.5000 0.0000 0.5000  4 Ni 2.72, 4 Zr 2.72, 4 Cl 2.93

# 6
Here is a crystal of HfAuSN2 relaxed with PBEsol from Alexandria. Energies are from meta-GGA SCAN.

- E_form (uncorrected): 2.13 eV/f.u.
- Spin magnetization: 0.530 μB/atom
- Symmetry: P4/mmm (123)
- DOS(E_F): 0.5913 states/eV/atom

a b c (Å): 3.9864 3.9864 5.3352
angles (deg): 90.00 90.00 90.00
With the nearest neighbours (Å) after each atom.
Fractional positions:
Hf 0.0000 0.0000 0.0000  4 N 1.99
Au 0.5000 0.5000 0.5000  4 S 2.82
S 0.0000 0.0000 0.5000  2 Hf 2.67, 4 Au 2.82
N 0.0000 0.5000 0.0000  2 Hf 1.99
N 0.5000 0.0000 0.0000  2 Hf 1.99

# 7
Here is a crystal of CrBiTe2I relaxed with PBEsol from Alexandria. Energies are from meta-GGA SCAN.

- E_form (uncorrected): 0.83 eV/f.u.
- Spin magnetization: 0.708 μB/atom
- Symmetry: P4/mmm (123)
- DOS(E_F): 0.7349 states/eV/atom

a b c (Å): 5.2579 5.2579 5.2011
angles (deg): 90.00 90.00 90.00
With the nearest neighbours (Å) after each atom.
Fractional positions:
Cr 0.0000 0.0000 0.0000  2 I 2.60, 4 Te 2.63
Bi 0.5000 0.5000 0.5000  8 Te 3.70, 4 I 3.72
Te 0.0000 0.5000 0.0000  2 Cr 2.63
Te 0.5000 0.0000 0.0000  2 Cr 2.63
I 0.0000 0.0000 0.5000  2 Cr 2.60

# 8
Here is a crystal of ScZnPd relaxed with PBEsol from Alexandria. Energies are from meta-GGA SCAN.

- ΔE_f: -0.813 eV/atom
- Spin magnetization: 0.000 μB/atom
- Symmetry: Cmcm (63)
- DOS(E_F): 0.5184 states/eV/atom

a b c (Å): 4.9844 4.9844 5.1959
angles (deg): 90.00 90.00 129.38
With the nearest neighbours (Å) after each atom.
Fractional positions:
Sc 0.2072 0.7928 0.7500  5 Pd 2.74-2.78, 2 Zn 2.94
Sc 0.7928 0.2072 0.2500  5 Pd 2.74-2.78, 2 Zn 2.94
Zn 0.5000 0.5000 0.0000  2 Zn 2.60, 4 Pd 2.64
Zn 0.5000 0.5000 0.5000  2 Zn 2.60, 4 Pd 2.64
Pd 0.0964 0.9036 0.2500  4 Zn 2.64, 5 Sc 2.74-2.78
Pd 0.9036 0.0964 0.7500  4 Zn 2.64, 5 Sc 2.74-2.78

# 9
Here is a crystal of B2Cl2O relaxed with PBEsol from Alexandria. Energies are from meta-GGA SCAN.

- E_form (uncorrected): 7.46 eV/f.u.
- Spin magnetization: 0.000 μB/atom
- Symmetry: I4/mmm (139)
- DOS(E_F): 0.2032 states/eV/atom

a b c (Å): 4.8851 4.8851 4.8851
angles (deg): 134.81 134.81 65.83
With the nearest neighbours (Å) after each atom.
Fractional positions:
B 0.2500 0.7500 0.5000  4 Cl 1.99
B 0.7500 0.2500 0.5000  4 Cl 1.99
Cl 0.1683 0.1683 0.0000  4 B 1.99
Cl 0.8317 0.8317 0.0000  4 B 1.99
O 0.5000 0.5000 0.0000  10 Cl 2.72-2.99, 8 B 2.78

# 10
Here is a crystal of BeAlOs2 relaxed with PBEsol from Alexandria. Energies are from meta-GGA SCAN.

- ΔE_f: -0.274 eV/atom
- Spin magnetization: 0.000 μB/atom
- Symmetry: Imm2 (44)
- DOS(E_F): 0.5792 states/eV/atom

a b c (Å): 4.9449 4.9449 4.9449
angles (deg): 145.50 132.29 60.20
With the nearest neighbours (Å) after each atom.
Fractional positions:
Be 0.0000 0.0000 0.0000  6 Os 2.46-2.48, 2 Al 2.67
Al 0.7398 0.2398 0.5000  6 Os 2.48-2.65, 2 Be 2.67
Os 0.2311 0.7311 0.5000  2 Be 2.46, 4 Al 2.48, 2 Os 2.60
Os 0.4823 0.4823 0.0000  4 Be 2.48, 2 Os 2.60, 2 Al 2.65

# 11
Here is a crystal of TiP2Pt relaxed with PBEsol from Alexandria. Energies are from meta-GGA SCAN.

- ΔE_f: -0.475 eV/atom
- Spin magnetization: 0.000 μB/atom
- Symmetry: I-42d (122)
- DOS(E_F): 0.6206 states/eV/atom

a b c (Å): 6.3669 6.3669 6.3669
angles (deg): 127.94 127.94 76.73
With the nearest neighbours (Å) after each atom.
Fractional positions:
Ti 0.0000 0.0000 0.0000  4 P 2.39
Ti 0.7500 0.2500 0.5000  4 P 2.39
P 0.1397 0.6250 0.0147  2 Pt 2.29, 2 Ti 2.39
P 0.3750 0.3897 0.5147  2 Pt 2.29, 2 Ti 2.39
P 0.6103 0.1250 0.9853  2 Pt 2.29, 2 Ti 2.39
P 0.8750 0.8603 0.4853  2 Pt 2.29, 2 Ti 2.39
Pt 0.2500 0.7500 0.5000  4 P 2.29
Pt 0.5000 0.5000 0.0000  4 P 2.29

# 12
Here is a crystal of Be2C3 relaxed with PBEsol from Alexandria. Energies are from meta-GGA SCAN.

- ΔE_f: 0.444 eV/atom
- Spin magnetization: 0.000 μB/atom
- Symmetry: R-3m (166)
- DOS(E_F): 0.2492 states/eV/atom

a b c (Å): 7.1467 7.1467 7.1467
angles (deg): 21.37 21.37 21.37
With the nearest neighbours (Å) after each atom.
Fractional positions:
Be 0.1348 0.1348 0.1348  3 C 1.67
Be 0.8652 0.8652 0.8652  3 C 1.67
C 0.3333 0.3333 0.3333  3 C 1.53
C 0.5000 0.5000 0.5000  6 Be 1.67
C 0.6667 0.6667 0.6667  3 C 1.53